Entry from Alexandria via LeMat-Bulk: crystalline RbDyGa2Br6 at its relaxed geometry (PBE).

Properties
Energy relative to the elements, uncorrected: -1.326 eV per atom
SG: No. 146
E: -3.492 eV per atom
Volume: 38.0 A^3/atom

extended XYZ file:
```
10
Lattice="3.9407 2.2752 7.0676 -3.9407 2.2752 7.0676 0.0000 -4.5503 7.0676" Properties=species:S:1:pos:R:3 pbc="T T T"
Rb 0.0000 0.0000 0.0000
Dy 0.0000 0.0000 10.3262
Ga 0.0000 0.0000 6.2832
Ga 0.0000 0.0000 17.0681
Br -2.1788 -0.2675 8.4995
Br -1.2533 -2.0194 11.7964
Br 1.3210 -1.7532 8.4995
Br -1.1222 2.0951 11.7964
Br 0.8578 2.0206 8.4995
Br 2.3755 -0.0757 11.7964
```